Entry 1:
Computed, not measured: a relaxed Cs2SmTlI6 crystal at the PBE level of DFT.

```
data_Cs2SmTlI6
_chemical_formula_sum 'Cs8 Sm4 Tl4 I24'
_cell_length_a 12.873
_cell_length_b 12.873
_cell_length_c 12.873
_cell_angle_alpha 90.00
_cell_angle_beta 90.00
_cell_angle_gamma 90.00
_space_group_name_H-M_alt 'F m -3 m'
_space_group_IT_number 225
_space_group_name_Hall '-F 4 2 3'
loop_
_atom_site_label
_atom_site_fract_x
_atom_site_fract_y
_atom_site_fract_z
_atom_site_occupancy
Cs1 0.250 0.250 0.250 1
Sm1 0.000 0.000 0.000 1
Tl1 0.000 0.000 0.500 1
I1 0.000 0.000 0.239 1
```

Results
As for the energy: -3.125 eV per atom. For the density, the calculation gives 4.30 g/cm3.

Entry 2:
Computed, not measured: a relaxed Rb2MoS4 crystal at the PBE level of DFT.

```
data_Rb2MoS4
_chemical_formula_sum 'Rb8 Mo4 S16'
_cell_length_a 15.126
_cell_length_b 7.040
_cell_length_c 9.264
_cell_angle_alpha 90.00
_cell_angle_beta 112.80
_cell_angle_gamma 90.00
_space_group_name_H-M_alt 'C 1 2/m 1'
_space_group_IT_number 12
loop_
_space_group_symop_operation_xyz
'x,y,z'
'-x,-y,-z'
'-x,y,-z'
'x,-y,z'
'x+1/2,y+1/2,z'
'-x+1/2,-y+1/2,-z'
'-x+1/2,y+1/2,-z'
'x+1/2,-y+1/2,z'
loop_
_atom_site_label
_atom_site_fract_x
_atom_site_fract_y
_atom_site_fract_z
_atom_site_occupancy
Rb1 0.035 0.000 0.263 1
Rb2 0.161 0.500 0.749 1
Mo1 0.172 0.500 0.205 1
S1 0.085 0.500 0.351 1
S2 0.136 0.249 0.053 1
S3 0.172 0.000 0.650 1
```

Results
As for the energy: -5.121 eV per atom. For the density, the calculation gives 2.89 g/cm3.

energy of number 1 (Cs2SmTlI6)? -3.125 eV per atom

Copy entry 1 word for word.
Computed, not measured: a relaxed Cs2SmTlI6 crystal at the PBE level of DFT.

```
data_Cs2SmTlI6
_chemical_formula_sum 'Cs8 Sm4 Tl4 I24'
_cell_length_a 12.873
_cell_length_b 12.873
_cell_length_c 12.873
_cell_angle_alpha 90.00
_cell_angle_beta 90.00
_cell_angle_gamma 90.00
_space_group_name_H-M_alt 'F m -3 m'
_space_group_IT_number 225
_space_group_name_Hall '-F 4 2 3'
loop_
_atom_site_label
_atom_site_fract_x
_atom_site_fract_y
_atom_site_fract_z
_atom_site_occupancy
Cs1 0.250 0.250 0.250 1
Sm1 0.000 0.000 0.000 1
Tl1 0.000 0.000 0.500 1
I1 0.000 0.000 0.239 1
```

Results
As for the energy: -3.125 eV per atom. For the density, the calculation gives 4.30 g/cm3.

Which value of energy does entry 2 give? -5.121 eV per atom

What did the first record say?
Computed, not measured: a relaxed Cs2SmTlI6 crystal at the PBE level of DFT.

```
data_Cs2SmTlI6
_chemical_formula_sum 'Cs8 Sm4 Tl4 I24'
_cell_length_a 12.873
_cell_length_b 12.873
_cell_length_c 12.873
_cell_angle_alpha 90.00
_cell_angle_beta 90.00
_cell_angle_gamma 90.00
_space_group_name_H-M_alt 'F m -3 m'
_space_group_IT_number 225
_space_group_name_Hall '-F 4 2 3'
loop_
_atom_site_label
_atom_site_fract_x
_atom_site_fract_y
_atom_site_fract_z
_atom_site_occupancy
Cs1 0.250 0.250 0.250 1
Sm1 0.000 0.000 0.000 1
Tl1 0.000 0.000 0.500 1
I1 0.000 0.000 0.239 1
```

Results
As for the energy: -3.125 eV per atom. For the density, the calculation gives 4.30 g/cm3.